Entry 1:
Here is a crystal of ZrIn2As relaxed with PBEsol from Alexandria via LeMat-Bulk. Energies are from meta-GGA SCAN.

space-group type: I4/mmm, No. 139
uncorrected energy: -29.7404 eV/atom
formation enthalpy at 0 K: -325 meV/atom

Unit cell a=4.019 b=4.019 c=5.878 alpha=109.99 beta=109.99 gamma=90.00
Element x y z (fractional)
As  0.500  0.500  0.000
Zr  0.000  0.000  0.000
In  0.250  0.750  0.500
In  0.750  0.250  0.500

***

Entry 2:
Here is a crystal of ZrIn2As relaxed with PBEsol from Alexandria via LeMat-Bulk. Energies are from meta-GGA SCAN.

space-group type: P2/m, No. 10
uncorrected energy: -29.5593 eV/atom
formation enthalpy at 0 K: -144 meV/atom

Unit cell a=3.091 b=5.346 c=5.199 alpha=90.00 beta=90.00 gamma=100.63
Element x y z (fractional)
As  0.500  0.000  0.500
Zr  0.000  0.500  0.500
In  0.331  0.243  0.000
In  0.669  0.757  0.000

***

Entry 3:
Here is a crystal of ZrInAs3 relaxed with PBEsol from Alexandria via LeMat-Bulk. Energies are from meta-GGA SCAN.

space-group type: Pm-3m, No. 221
uncorrected energy: -24.0515 eV/atom
formation enthalpy at 0 K: 880 meV/atom

Unit cell a=5.000 b=5.000 c=5.000 alpha=90.00 beta=90.00 gamma=90.00
Element x y z (fractional)
As  0.000  0.500  0.000
As  0.000  0.000  0.500
As  0.500  0.000  0.000
Zr  0.500  0.500  0.500
In  0.000  0.000  0.000

***

Entry 4:
Here is a crystal of ZrIn2As relaxed with PBEsol from Alexandria via LeMat-Bulk. Energies are from meta-GGA SCAN.

space-group type: F-43m, No. 216
uncorrected energy: -29.3900 eV/atom
formation enthalpy at 0 K: 26 meV/atom

Unit cell a=4.943 b=4.943 c=4.943 alpha=60.00 beta=60.00 gamma=60.00
Element x y z (fractional)
As  0.500  0.500  0.500
Zr  0.250  0.250  0.250
In  0.000  0.000  0.000
In  0.750  0.750  0.750

***

Entry 5:
Here is a crystal of ZrInAs3 relaxed with PBEsol from Alexandria via LeMat-Bulk. Energies are from meta-GGA SCAN.

space-group type: Pm-3m, No. 221
uncorrected energy: -24.8155 eV/atom
formation enthalpy at 0 K: 116 meV/atom

Unit cell a=5.139 b=5.139 c=5.139 alpha=90.00 beta=90.00 gamma=90.00
Element x y z (fractional)
As  0.000  0.500  0.000
As  0.000  0.000  0.500
As  0.500  0.000  0.000
Zr  0.000  0.000  0.000
In  0.500  0.500  0.500

***

Entry 6:
Here is a crystal of AsIr relaxed with PBEsol from Alexandria via LeMat-Bulk. Energies are from meta-GGA SCAN.

space-group type: Imma, No. 74
uncorrected energy: -45.4103 eV/atom
formation enthalpy at 0 K: 235 meV/atom

Unit cell a=2.837 b=4.519 c=5.540 alpha=114.07 beta=104.84 gamma=90.00
Element x y z (fractional)
As  0.899  0.649  0.799
As  0.101  0.351  0.201
Ir  0.374  0.124  0.748
Ir  0.626  0.876  0.252

***

- Among the records above, which one has the lowest uncorrected energy?
  AsIr

***

- The lowest formation enthalpy at 0 K belongs to which entry?
  number 1